# 1
## CePm2Er (PBE)

Data for a relaxed CePm2Er crystal.

Results
Total magnetic moment: 0.666 μB/f.u.
Formation energy from the elements: 7.1 kJ/mol of atoms

Geometry as CIF:
```
data_CePm2Er
_cell_length_a 5.0618
_cell_length_b 5.0618
_cell_length_c 5.0482
_cell_angle_alpha 90.00
_cell_angle_beta 90.00
_cell_angle_gamma 90.00
_symmetry_space_group_name_H-M 'P 1'
_symmetry_Int_Tables_number 1
loop_
_symmetry_equiv_pos_as_xyz
'x,y,z'
loop_
_atom_site_label
_atom_site_type_symbol
_atom_site_fract_x
_atom_site_fract_y
_atom_site_fract_z
Ce1 Ce 0.0000 0.0000 0.0000
Pm1 Pm 0.0000 0.5000 0.5000
Pm2 Pm 0.5000 0.0000 0.5000
Er1 Er 0.5000 0.5000 0.0000
```



# 2
## CePmEr4 (PBE)

Data for a relaxed CePmEr4 crystal.

Results
Total magnetic moment: 0.745 μB/f.u.
Formation energy from the elements: 2.2 kJ/mol of atoms

Geometry as CIF:
```
data_CePmEr4
_cell_length_a 8.7398
_cell_length_b 8.7398
_cell_length_c 6.1763
_cell_angle_alpha 96.76
_cell_angle_beta 96.76
_cell_angle_gamma 23.45
_symmetry_space_group_name_H-M 'P 1'
_symmetry_Int_Tables_number 1
loop_
_symmetry_equiv_pos_as_xyz
'x,y,z'
loop_
_atom_site_label
_atom_site_type_symbol
_atom_site_fract_x
_atom_site_fract_y
_atom_site_fract_z
Ce1 Ce 0.0000 0.0000 0.0000
Pm1 Pm 0.5000 0.5000 0.5000
Er1 Er 0.1681 0.1681 0.3860
Er2 Er 0.3333 0.3333 0.1089
Er3 Er 0.6667 0.6667 0.8911
Er4 Er 0.8319 0.8319 0.6140
```



no.,E_tot (eV for the cell shown)
1,-19.703
2,-28.799